one.
A plane-wave DFT calculation with PBE was carried out for a relaxed Pm3Nd4Dy5 crystal.

Cell: 6.2639 7.2251 8.8562 Å, 90.08 90.08 90.08°
Space group P-1 (No. 2)
One atom of each set of equivalent atoms:
Pm  0.0000  0.0000  0.0000
Pm  0.1681  0.7514  0.6683
Nd  0.1680  0.2489  0.6681
Nd  0.3318  0.5001  0.3305
Dy  0.0000  0.5000  0.0000
Dy  0.3344  0.0000  0.3308
Dy  0.5002  0.2487  0.0001

density of states at the Fermi level	15.923	states/eV per cell
crystal system	triclinic

=====

two.
A plane-wave DFT calculation with PBE was carried out for a relaxed Pm3Nd4Dy5 crystal.

Cell: 16.1977 5.9960 9.4084 Å, 90.00 116.20 90.00°
Space group C2/m (No. 12)
One atom of each set of equivalent atoms:
Pm  0.0000  0.0000  0.0000
Pm  0.2098  0.5000  0.2324
Nd  0.0839  0.5000  0.4447
Nd  0.2114  0.5000  0.8813
Dy  0.0000  0.5000  0.0000
Dy  0.0717  0.0000  0.6980
Dy  0.1719  0.0000  0.3872

density of states at the Fermi level	38.403	states/eV per cell
crystal system	monoclinic

=====

The most stable of them is one.

=====

one.
A plane-wave DFT calculation with PBE was carried out for a relaxed Pm6NdDy12 crystal.

Cell: 12.2926 12.2926 14.5038 Å, 90.00 90.00 120.00°
Space group R-3 (No. 148, hexagonal axes)
One atom of each set of equivalent atoms:
Pm  0.0261  0.5825  0.2190
Nd  0.0000  0.0000  0.5000
Dy  0.0550  0.8710  0.3033
Dy  0.0680  0.1963  0.9046

density of states at the Fermi level	108.078	states/eV per cell
crystal system	trigonal

=====

two.
A plane-wave DFT calculation with PBE was carried out for a relaxed Pm6NdDy12 crystal.

Cell: 13.2712 13.2712 12.6538 Å, 90.00 90.00 120.00°
Space group R-3m (No. 166, hexagonal axes)
One atom of each set of equivalent atoms:
Pm  0.0377  0.5188  0.1173
Nd  0.0000  0.0000  0.5000
Dy  0.0000  0.2574  0.0000
Dy  0.0914  0.1827  0.7646

density of states at the Fermi level	95.652	states/eV per cell
crystal system	trigonal

=====

The most stable of them is one.